# CaWBr2

An optimized crystal structure of CaWBr2 (GGA-PBE, Alexandria).

Unit cell a=4.980 b=4.980 c=17.063 alpha=90.00 beta=90.00 gamma=90.00
Space group I-42d (No. 122)
Asymmetric unit:
Ca1 0.000 0.000 0.000 (multiplicity 4)
W1 0.000 0.000 0.500 (multiplicity 4)
Br1 0.205 0.250 0.625 (multiplicity 8)

Calculated values
Size of the total moment, μB/atom: 0.58
Formation energy (no corrections), eV per atom: 0.35